Below is MnPH7O7 after structural relaxation, with properties calculated at the PBE with a Hubbard U level.

The structure in POSCAR format:
```
MnPH7O7
1.0
10.215 0.000 0.000
0.000 10.607 0.000
0.000 0.000 10.874
Mn P H O
8 8 56 56
direct
0.088 0.202 0.246
0.088 0.298 0.746
0.412 0.702 0.246
0.412 0.798 0.746
0.588 0.202 0.254
0.588 0.298 0.754
0.912 0.702 0.254
0.912 0.798 0.754
0.154 0.507 0.130
0.154 0.993 0.630
0.346 0.007 0.130
0.346 0.493 0.630
0.654 0.507 0.370
0.654 0.993 0.870
0.846 0.007 0.370
0.846 0.493 0.870
0.022 0.649 0.501
0.022 0.851 0.001
0.036 0.576 0.719
0.036 0.924 0.219
0.099 0.509 0.928
0.099 0.991 0.428
0.132 0.671 0.402
0.132 0.829 0.902
0.152 0.662 0.671
0.152 0.838 0.171
0.187 0.206 0.500
0.187 0.294 0.000
0.242 0.169 0.938
0.242 0.331 0.438
0.258 0.669 0.938
0.258 0.831 0.438
0.313 0.706 0.500
0.313 0.794 0.000
0.348 0.162 0.671
0.348 0.338 0.171
0.368 0.171 0.402
0.368 0.329 0.902
0.401 0.009 0.928
0.401 0.491 0.428
0.464 0.076 0.719
0.464 0.424 0.219
0.478 0.149 0.501
0.478 0.351 0.001
0.522 0.649 0.999
0.522 0.851 0.499
0.536 0.576 0.781
0.536 0.924 0.281
0.599 0.509 0.572
0.599 0.991 0.072
0.632 0.671 0.098
0.632 0.829 0.598
0.652 0.662 0.829
0.652 0.838 0.329
0.687 0.206 0.000
0.687 0.294 0.500
0.742 0.169 0.562
0.742 0.331 0.062
0.758 0.669 0.562
0.758 0.831 0.062
0.813 0.706 0.000
0.813 0.794 0.500
0.848 0.162 0.829
0.848 0.338 0.329
0.868 0.171 0.098
0.868 0.329 0.598
0.901 0.009 0.572
0.901 0.491 0.072
0.964 0.076 0.781
0.964 0.424 0.281
0.978 0.149 0.999
0.978 0.351 0.499
0.009 0.538 0.164
0.009 0.962 0.664
0.038 0.650 0.411
0.038 0.850 0.911
0.054 0.657 0.675
0.054 0.843 0.175
0.172 0.539 0.986
0.172 0.961 0.486
0.178 0.137 0.645
0.178 0.363 0.145
0.207 0.246 0.418
0.207 0.254 0.918
0.248 0.088 0.197
0.248 0.412 0.697
0.252 0.588 0.197
0.252 0.912 0.697
0.293 0.746 0.418
0.293 0.754 0.918
0.322 0.637 0.645
0.322 0.863 0.145
0.328 0.039 0.986
0.328 0.461 0.486
0.446 0.157 0.675
0.446 0.343 0.175
0.462 0.150 0.411
0.462 0.350 0.911
0.491 0.038 0.164
0.491 0.462 0.664
0.509 0.538 0.336
0.509 0.962 0.836
0.538 0.650 0.089
0.538 0.850 0.589
0.554 0.657 0.825
0.554 0.843 0.325
0.672 0.539 0.514
0.672 0.961 0.014
0.678 0.137 0.855
0.678 0.363 0.355
0.707 0.246 0.082
0.707 0.254 0.582
0.748 0.088 0.303
0.748 0.412 0.803
0.752 0.588 0.303
0.752 0.912 0.803
0.793 0.746 0.082
0.793 0.754 0.582
0.822 0.637 0.855
0.822 0.863 0.355
0.828 0.039 0.514
0.828 0.461 0.014
0.946 0.157 0.825
0.946 0.343 0.325
0.962 0.150 0.089
0.962 0.350 0.589
0.991 0.038 0.336
0.991 0.462 0.836
```

Properties
Uncorrected energy   -5.87 eV/atom
Symmetry   Pbca, No. 61
Density of states at the Fermi level   0.000 states/eV/atom
Size of the total moment   40.000 μB/cell
V   1178 Å³ per cell